La2DyTe4 | the Alexandria database | GGA-PBE | relaxed; E above lowest polymorph = 0.00 eV per formula unit; Fermi-level density of states = 5.0 states/eV per cell; crystal system = orthorhombic; final energy = -75.17 eV for the cell shown
1.0
-4.470 4.518 6.256
4.470 -4.518 6.256
4.470 4.518 -6.256
La Dy Te
4 2 8
Direct
0.000 0.000 0.000
0.500 0.000 0.000
0.500 0.000 0.500
0.500 0.500 0.500
0.000 0.000 0.500
0.000 0.500 0.000
0.229 0.739 0.490
0.245 0.252 0.507
0.245 0.738 0.993
0.250 0.261 0.990
0.750 0.739 0.010
0.755 0.262 0.007
0.755 0.748 0.493
0.771 0.261 0.510

La4Dy3Te8 | the Alexandria database | GGA-PBE | relaxed; E above lowest polymorph = 2.89 eV per formula unit; Fermi-level density of states = 9.2 states/eV per cell; crystal system = trigonal; final energy = -77.91 eV for the cell shown
1.0
4.388 2.533 8.330
-4.388 2.533 8.330
0.000 -5.067 8.330
La Dy Te
4 3 8
Direct
0.000 0.000 0.000
0.144 0.144 0.144
0.500 0.500 0.500
0.856 0.856 0.856
0.000 0.500 0.500
0.500 0.000 0.500
0.500 0.500 0.000
0.251 0.251 0.731
0.251 0.731 0.251
0.268 0.268 0.268
0.269 0.749 0.749
0.731 0.251 0.251
0.732 0.732 0.732
0.749 0.269 0.749
0.749 0.749 0.269

La3DyTe6 | the Alexandria database | GGA-PBE | relaxed; E above lowest polymorph = 0.00 eV per formula unit; crystal system = trigonal; final energy = -106.23 eV for the cell shown
1.0
7.037 4.063 4.386
-7.037 4.063 4.386
0.000 -8.126 4.386
La Dy Te
6 2 12
Direct
0.121 0.290 0.632
0.290 0.632 0.121
0.368 0.879 0.710
0.632 0.121 0.290
0.710 0.368 0.879
0.879 0.710 0.368
0.000 0.000 0.000
0.500 0.500 0.500
0.038 0.933 0.677
0.067 0.323 0.962
0.182 0.561 0.424
0.323 0.962 0.067
0.424 0.182 0.561
0.439 0.576 0.818
0.561 0.424 0.182
0.576 0.818 0.439
0.677 0.038 0.933
0.818 0.439 0.576
0.933 0.677 0.038
0.962 0.067 0.323

La2DyTe5 | the Alexandria database | GGA-PBE | relaxed; Fermi-level density of states = 4.4 states/eV per cell; crystal system = tetragonal; final energy = -36.96 eV for the cell shown
1.0
7.521 0.000 0.000
0.000 7.521 0.000
0.000 0.000 5.326
La Dy Te
2 1 5
Direct
0.000 0.500 0.000
0.500 0.000 0.000
0.000 0.000 0.500
0.000 0.000 0.000
0.279 0.279 0.500
0.279 0.721 0.500
0.721 0.279 0.500
0.721 0.721 0.500

La6DyTe8 | the Alexandria database | GGA-PBE | relaxed; Fermi-level density of states = 9.2 states/eV per cell; crystal system = cubic; final energy = -82.92 eV for the cell shown
1.0
0.000 6.448 6.448
6.448 0.000 6.448
6.448 6.448 0.000
La Dy Te
6 1 8
Direct
0.000 0.000 0.500
0.000 0.500 0.000
0.000 0.500 0.500
0.500 0.000 0.000
0.500 0.000 0.500
0.500 0.500 0.000
0.000 0.000 0.000
0.245 0.245 0.755
0.245 0.755 0.245
0.245 0.755 0.755
0.250 0.250 0.250
0.750 0.750 0.750
0.755 0.245 0.245
0.755 0.245 0.755
0.755 0.755 0.245

La2DyTe | the Alexandria database | GGA-PBE | relaxed; E above lowest polymorph = 0.00 eV per formula unit; Fermi-level density of states = 5.0 states/eV per cell; crystal system = tetragonal; final energy = -20.02 eV for the cell shown
1.0
4.060 0.000 0.000
0.000 4.060 0.000
0.000 0.000 8.055
La Dy Te
2 1 1
Direct
0.000 0.000 0.223
0.000 0.000 0.777
0.500 0.500 0.500
0.500 0.500 0.000

LaDy2Tl3Te6 | the Alexandria database | GGA-PBE | relaxed; crystal system = monoclinic; final energy = -53.10 eV for the cell shown
1.0
3.919 -6.784 0.000
3.919 6.784 0.000
-2.614 0.000 8.169
La Dy Tl Te
1 2 3 6
Direct
0.000 0.000 0.000
0.333 0.667 0.000
0.667 0.333 0.000
0.164 0.836 0.500
0.500 0.500 0.500
0.836 0.164 0.500
0.072 0.417 0.217
0.273 0.273 0.786
0.417 0.072 0.217
0.583 0.928 0.783
0.727 0.727 0.214
0.928 0.583 0.783

La4DyTm3Te8 | the Alexandria database | GGA-PBE | relaxed; Fermi-level density of states = 11.3 states/eV per cell; crystal system = trigonal; final energy = -85.32 eV for the cell shown
1.0
4.386 2.532 7.467
-4.386 2.532 7.467
0.000 -5.064 7.467
La Dy Tm Te
4 1 3 8
Direct
0.000 0.000 0.000
0.000 0.500 0.500
0.500 0.000 0.500
0.500 0.500 0.000
0.500 0.500 0.500
0.000 0.000 0.500
0.000 0.500 0.000
0.500 0.000 0.000
0.241 0.744 0.744
0.243 0.243 0.243
0.256 0.256 0.759
0.256 0.759 0.256
0.744 0.241 0.744
0.744 0.744 0.241
0.757 0.757 0.757
0.759 0.256 0.256

La2DyTmTe5 | the Alexandria database | GGA-PBE | relaxed; Fermi-level density of states = 4.4 states/eV per cell; crystal system = tetragonal; final energy = -43.34 eV for the cell shown
1.0
5.471 0.000 0.000
0.000 5.471 0.000
0.000 0.000 11.528
La Dy Tm Te
2 1 1 5
Direct
0.000 0.000 0.176
0.000 0.000 0.824
0.500 0.500 0.500
0.500 0.500 0.000
0.000 0.000 0.500
0.000 0.500 0.000
0.500 0.000 0.000
0.500 0.500 0.254
0.500 0.500 0.746

La3Dy3TmTe8 | the Alexandria database | GGA-PBE | relaxed; Fermi-level density of states = 7.8 states/eV per cell; crystal system = trigonal; final energy = -80.11 eV for the cell shown
1.0
4.418 2.551 7.352
-4.418 2.551 7.352
0.000 -5.102 7.352
La Dy Tm Te
3 3 1 8
Direct
0.000 0.500 0.500
0.500 0.000 0.500
0.500 0.500 0.000
0.000 0.000 0.500
0.000 0.500 0.000
0.500 0.000 0.000
0.500 0.500 0.500
0.241 0.748 0.748
0.245 0.245 0.245
0.252 0.252 0.759
0.252 0.759 0.252
0.748 0.241 0.748
0.748 0.748 0.241
0.755 0.755 0.755
0.759 0.252 0.252

LaDyTmTe3 | the Alexandria database | GGA-PBE | relaxed; Fermi-level density of states = 9.2 states/eV per cell; crystal system = monoclinic; final energy = -62.03 eV for the cell shown
1.0
8.606 0.000 0.000
0.000 4.333 0.000
-3.009 0.000 10.348
La Dy Tm Te
2 2 2 6
Direct
0.188 0.250 0.218
0.812 0.750 0.782
0.337 0.750 0.908
0.663 0.250 0.092
0.153 0.250 0.623
0.847 0.750 0.377
0.091 0.250 0.892
0.221 0.750 0.456
0.486 0.750 0.206
0.514 0.250 0.794
0.779 0.250 0.544
0.909 0.750 0.108

LaDy2Y3Te6 | the Alexandria database | GGA-PBE | relaxed; Fermi-level density of states = 7.1 states/eV per cell; crystal system = monoclinic; final energy = -68.52 eV for the cell shown
1.0
9.577 -2.190 0.000
9.577 2.190 0.000
-2.005 0.000 8.610
La Dy Y Te
1 2 3 6
Direct
0.000 0.000 0.000
0.335 0.335 0.669
0.665 0.665 0.331
0.000 0.000 0.500
0.338 0.338 0.168
0.662 0.662 0.832
0.168 0.168 0.583
0.173 0.173 0.087
0.498 0.498 0.738
0.502 0.502 0.262
0.827 0.827 0.913
0.832 0.832 0.417

Which value of final energy does entry 1 give? -75.17 eV for the cell shown

final energy of number 9 (La2DyTmTe5)? -43.34 eV for the cell shown